Arrangement P

CuOF2 | PBE | relaxed

Calculated values
ρ = 4.98 g/cm³
Symmetry = No. 225
Density of states at the Fermi level = 10.068 states/eV/cell

```
CuOF2
1.0
5.393 0.000 0.000
0.000 5.393 0.000
0.000 0.000 5.393
Cu O F
4 4 8
direct
0.000 0.000 0.000 Cu
0.000 0.500 0.500 Cu
0.500 0.000 0.500 Cu
0.500 0.500 0.000 Cu
0.000 0.000 0.500 O
0.000 0.500 0.000 O
0.500 0.000 0.000 O
0.500 0.500 0.500 O
0.250 0.250 0.250 F
0.250 0.250 0.750 F
0.250 0.750 0.250 F
0.250 0.750 0.750 F
0.750 0.250 0.250 F
0.750 0.250 0.750 F
0.750 0.750 0.250 F
0.750 0.750 0.750 F
```

***

Arrangement Q

CuOF2 | PBE | relaxed

Calculated values
ρ = 3.09 g/cm³
Symmetry = No. 122
Density of states at the Fermi level = 27.004 states/eV/cell

```
CuOF2
1.0
4.942 0.000 0.000
0.000 4.942 0.000
0.000 0.000 10.343
Cu O F
4 4 8
direct
0.000 0.000 0.000 Cu
0.000 0.500 0.250 Cu
0.500 0.000 0.750 Cu
0.500 0.500 0.500 Cu
0.000 0.000 0.500 O
0.000 0.500 0.750 O
0.500 0.000 0.250 O
0.500 0.500 0.000 O
0.143 0.250 0.125 F
0.250 0.643 0.375 F
0.250 0.857 0.875 F
0.357 0.250 0.625 F
0.643 0.750 0.625 F
0.750 0.143 0.875 F
0.750 0.357 0.375 F
0.857 0.750 0.125 F
```

***

Arrangement R

CuOF2 | PBE | relaxed

Calculated values
ρ = 3.40 g/cm³
Symmetry = No. 12
Density of states at the Fermi level = 0.276 states/eV/cell

```
CuOF2
1.0
8.600 0.000 0.000
0.000 2.934 0.000
-3.419 0.000 9.094
Cu O F
4 4 8
direct
0.205 0.000 0.328 Cu
0.295 0.500 0.672 Cu
0.705 0.500 0.328 Cu
0.795 0.000 0.672 Cu
0.027 0.000 0.949 O
0.473 0.500 0.051 O
0.527 0.500 0.949 O
0.973 0.000 0.051 O
0.114 0.500 0.406 F
0.212 0.000 0.753 F
0.288 0.500 0.247 F
0.386 0.000 0.594 F
0.614 0.000 0.406 F
0.712 0.500 0.753 F
0.788 0.000 0.247 F
0.886 0.500 0.594 F
```

***

Arrangement S

CuOF2 | PBE | relaxed

Calculated values
ρ = 3.36 g/cm³
Symmetry = No. 166
Density of states at the Fermi level = 10.864 states/eV/cell

```
CuOF2
1.0
3.116 0.000 0.000
-1.558 2.699 0.000
0.000 0.000 20.750
Cu O F
3 3 6
direct
0.000 0.000 0.000 Cu
0.333 0.667 0.667 Cu
0.667 0.333 0.333 Cu
0.000 0.000 0.500 O
0.333 0.667 0.167 O
0.667 0.333 0.833 O
0.000 0.000 0.380 F
0.000 0.000 0.620 F
0.333 0.667 0.047 F
0.333 0.667 0.286 F
0.667 0.333 0.714 F
0.667 0.333 0.953 F
```

***

Energies, relative to the best one, in kJ/mol of atoms: arrangement P 96.3; arrangement Q 82.7; arrangement R 0.0; arrangement S 68.9.

***

Arrangement P

CuP2OF | PBE | relaxed

Calculated values
ρ = 3.60 g/cm³
Symmetry = No. 123
Density of states at the Fermi level = 4.377 states/eV/cell

```
CuP2OF
1.0
4.478 0.000 0.000
0.000 4.478 0.000
0.000 0.000 3.696
Cu P O F
1 2 1 1
direct
0.000 0.000 0.000 Cu
0.000 0.500 0.000 P
0.500 0.000 0.000 P
0.000 0.000 0.500 O
0.500 0.500 0.500 F
```

***

Arrangement Q

CuP2OF | PBE | relaxed

Calculated values
ρ = 3.84 g/cm³
Symmetry = No. 123
Density of states at the Fermi level = 2.119 states/eV/cell

```
CuP2OF
1.0
4.020 0.000 0.000
0.000 4.020 0.000
0.000 0.000 4.291
Cu P O F
1 2 1 1
direct
0.000 0.000 0.000 Cu
0.000 0.500 0.500 P
0.500 0.000 0.500 P
0.500 0.500 0.000 O
0.500 0.500 0.500 F
```

***

Energies, relative to the best one, in kJ/mol of atoms: arrangement P 0.0; arrangement Q 37.6.

***

Arrangement P

CuPtOF2 | PBE | relaxed

Calculated values
ρ = 8.55 g/cm³
Symmetry = No. 123
Density of states at the Fermi level = 4.098 states/eV/cell

```
CuPtOF2
1.0
3.714 0.000 0.000
0.000 3.714 0.000
0.000 0.000 4.404
Cu Pt O F
1 1 1 2
direct
0.000 0.000 0.000 Cu
0.500 0.500 0.500 Pt
0.000 0.000 0.500 O
0.000 0.500 0.000 F
0.500 0.000 0.000 F
```

***

Arrangement Q

CuPtOF2 | PBE | relaxed

Calculated values
ρ = 7.12 g/cm³
Symmetry = No. 123
Density of states at the Fermi level = 2.928 states/eV/cell

```
CuPtOF2
1.0
4.383 0.000 0.000
0.000 4.383 0.000
0.000 0.000 3.792
Cu Pt O F
1 1 1 2
direct
0.000 0.000 0.000 Cu
0.500 0.500 0.500 Pt
0.500 0.500 0.000 O
0.000 0.500 0.500 F
0.500 0.000 0.500 F
```

***

Energies, relative to the best one, in kJ/mol of atoms: arrangement P 11.4; arrangement Q 0.0.

***

Arrangement P

CuSOF | PBE | relaxed

Calculated values
ρ = 3.96 g/cm³
Symmetry = No. 2
Density of states at the Fermi level = 0.135 states/eV/cell

```
CuSOF
1.0
4.505 0.000 0.000
-0.458 5.040 0.000
-0.105 -1.885 4.819
Cu S O F
2 2 2 2
direct
0.000 0.000 0.000 Cu
0.500 0.000 0.500 Cu
0.091 0.340 0.812 S
0.909 0.660 0.188 S
0.154 0.718 0.418 O
0.846 0.282 0.582 O
0.353 0.145 0.225 F
0.647 0.855 0.775 F
```

***

Arrangement Q

CuSOF | PBE | relaxed

Calculated values
ρ = 3.71 g/cm³
Symmetry = No. 1
Density of states at the Fermi level = 3.181 states/eV/cell

```
CuSOF
1.0
3.788 0.000 0.000
-1.270 5.183 0.000
-0.042 -1.345 5.962
Cu S O F
2 2 2 2
direct
0.000 0.000 0.000 Cu
0.458 0.437 0.490 Cu
0.201 0.630 0.031 S
0.524 0.785 0.768 S
0.470 0.666 0.217 O
0.978 0.354 0.947 O
0.366 0.142 0.239 F
0.947 0.412 0.497 F
```

***

Energies, relative to the best one, in kJ/mol of atoms: arrangement P 2.5; arrangement Q 0.0.

***

Arrangement P

CuSbOF2 | PBE | relaxed

Calculated values
ρ = 4.77 g/cm³
Symmetry = No. 123
Density of states at the Fermi level = 1.046 states/eV/cell

```
CuSbOF2
1.0
4.440 0.000 0.000
0.000 4.440 0.000
0.000 0.000 4.222
Cu Sb O F
1 1 1 2
direct
0.000 0.000 0.000 Cu
0.500 0.500 0.500 Sb
0.500 0.500 0.000 O
0.000 0.500 0.500 F
0.500 0.000 0.500 F
```

***

Arrangement Q

CuSbOF2 | PBE | relaxed

Calculated values
ρ = 6.14 g/cm³
Symmetry = No. 123
Density of states at the Fermi level = 3.414 states/eV/cell

```
CuSbOF2
1.0
4.071 0.000 0.000
0.000 4.071 0.000
0.000 0.000 3.903
Cu Sb O F
1 1 1 2
direct
0.000 0.000 0.000 Cu
0.500 0.500 0.500 Sb
0.000 0.000 0.500 O
0.000 0.500 0.000 F
0.500 0.000 0.000 F
```

***

Energies, relative to the best one, in kJ/mol of atoms: arrangement P 0.0; arrangement Q 6.8.

***

Arrangement P

CuSiOF2 | PBE | relaxed

Calculated values
ρ = 4.26 g/cm³
Symmetry = No. 123
Density of states at the Fermi level = 1.034 states/eV/cell

```
CuSiOF2
1.0
4.090 0.000 0.000
0.000 4.090 0.000
0.000 0.000 3.395
Cu Si O F
1 1 1 2
direct
0.000 0.000 0.000 Cu
0.500 0.500 0.500 Si
0.500 0.500 0.000 O
0.000 0.500 0.500 F
0.500 0.000 0.500 F
```

***

Arrangement Q

CuSiOF2 | PBE | relaxed

Calculated values
ρ = 4.01 g/cm³
Symmetry = No. 123
Density of states at the Fermi level = 1.576 states/eV/cell

```
CuSiOF2
1.0
3.907 0.000 0.000
0.000 3.907 0.000
0.000 0.000 3.946
Cu Si O F
1 1 1 2
direct
0.000 0.000 0.000 Cu
0.500 0.500 0.500 Si
0.000 0.000 0.500 O
0.000 0.500 0.000 F
0.500 0.000 0.000 F
```

***

Energies, relative to the best one, in kJ/mol of atoms: arrangement P 0.0; arrangement Q 52.0.